# 1
# Pu8GePt5

A relaxed Pu8GePt5 crystal (PBE, the Alexandria database).

Results
* mass density: 15.07 g/cm³
* uncorrected energy: -11.254 eV per atom
* V: 23.619 Å³/atom
* E_form: -8.08 eV per formula unit
* total magnetization: 0.02 μB per atom

POSCAR file:
```
Pu8GePt5
1.0
-4.377 4.377 4.316
4.377 -4.377 4.316
4.377 4.377 -4.316
Pu Ge Pt
8 1 5
Cartesian
3.770 2.864 -2.654
3.774 1.579 0.442
0.607 1.513 1.662
2.797 -0.602 3.874
1.579 4.979 -0.442
1.513 -0.607 6.970
0.602 2.797 4.758
2.864 4.983 2.654
0.000 4.377 2.158
1.133 2.203 -1.091
6.550 1.133 1.091
0.000 0.000 4.316
3.243 2.174 3.225
-2.174 3.243 5.407
```

---

# 2
# Pu3Ge4Pt

A relaxed Pu3Ge4Pt crystal (PBE, the Alexandria database).

Results
* mass density: 11.98 g/cm³
* uncorrected energy: -8.763 eV per atom
* V: 21.099 Å³/atom
* E_form: -2.60 eV per formula unit
* total magnetization: 0.72 μB per atom

POSCAR file:
```
Pu3Ge4Pt
1.0
-1.484 3.226 8.814
1.484 -3.226 8.814
1.484 3.226 -8.814
Pu Ge Pt
3 4 1
Cartesian
0.000 0.000 0.000
1.484 0.000 4.420
0.000 3.226 4.394
1.484 1.791 -2.063
1.484 1.791 2.063
0.000 1.435 6.751
0.000 1.435 10.876
0.000 0.000 8.814
```

---

# 3
# Pu4GePt3

A relaxed Pu4GePt3 crystal (PBE, the Alexandria database).

Results
* mass density: 17.31 g/cm³
* uncorrected energy: -10.210 eV per atom
* V: 19.591 Å³/atom
* E_form: -1.61 eV per formula unit
* total magnetization: 0.00 μB per atom

POSCAR file:
```
Pu4GePt3
1.0
3.460 0.000 0.000
0.000 4.950 0.000
0.000 0.000 9.150
Pu Ge Pt
4 1 3
Cartesian
0.000 0.000 0.000
0.000 2.475 4.528
1.730 0.000 1.575
1.730 2.475 6.158
1.730 0.000 4.487
0.000 0.000 6.422
0.000 2.475 1.903
1.730 2.475 8.788
```

---

# 4
# Pu2Ge3Pt2

A relaxed Pu2Ge3Pt2 crystal (PBE, the Alexandria database).

Results
* energy relative to the lowest polymorph listed for this composition: 296 meV/atom
* mass density: 14.13 g/cm³
* uncorrected energy: -8.137 eV per atom
* V: 18.399 Å³/atom
* E_form: -2.36 eV per formula unit
* total magnetization: 0.00 μB per atom

POSCAR file:
```
Pu2Ge3Pt2
1.0
5.408 -1.768 0.000
5.408 1.768 0.000
-3.327 0.000 6.735
Pu Ge Pt
2 3 2
Cartesian
0.791 0.000 2.641
6.697 0.000 4.094
4.149 0.000 0.022
3.744 0.000 3.367
3.339 0.000 6.713
-1.187 0.000 5.152
8.675 0.000 1.583
```

---

# 5
# Pu3Ge4Pt7

A relaxed Pu3Ge4Pt7 crystal (PBE, the Alexandria database).

Results
* mass density: 15.41 g/cm³
* uncorrected energy: -8.118 eV per atom
* V: 18.387 Å³/atom
* E_form: -9.90 eV per formula unit
* total magnetization: 1.12 μB per atom

POSCAR file:
```
Pu3Ge4Pt7
1.0
7.898 -2.050 0.000
7.898 2.050 0.000
-5.668 0.000 7.949
Pu Ge Pt
3 4 7
Cartesian
0.000 0.000 0.000
3.293 0.000 2.609
6.835 0.000 5.340
-2.943 0.000 6.593
1.130 0.000 5.830
8.998 0.000 2.119
13.071 0.000 1.356
-2.834 0.000 3.974
0.217 0.000 3.377
-0.589 0.000 7.663
3.679 0.000 5.690
6.449 0.000 2.259
10.717 0.000 0.286
9.911 0.000 4.572
```

---

# 6
# PuGe2Pt4

A relaxed PuGe2Pt4 crystal (PBE, the Alexandria database).

Results
* energy relative to the lowest polymorph listed for this composition: 17 meV/atom
* mass density: 15.01 g/cm³
* uncorrected energy: -7.382 eV per atom
* V: 18.481 Å³/atom
* E_form: -3.95 eV per formula unit
* total magnetization: 0.74 μB per atom

POSCAR file:
```
PuGe2Pt4
1.0
2.131 1.230 8.222
-2.131 1.230 8.222
0.000 -2.461 8.222
Pu Ge Pt
1 2 4
Cartesian
0.000 0.000 0.000
0.000 0.000 5.908
0.000 0.000 18.758
0.000 0.000 3.363
0.000 0.000 10.077
0.000 0.000 14.590
0.000 0.000 21.303
```

---

mass density of number 4 (Pu2Ge3Pt2)?
14.13 g/cm³

---

The lowest V belongs to which entry?
Pu3Ge4Pt7

---

What is the mass density in the sixth record?
15.01 g/cm³